# 1
Density functional theory data (PBE-GGA) for an optimized crystal structure of LiVNi6.

* energy above the lowest structure with this stoichiometry: 0.546 eV/atom
* VASP energy: -5.31 eV/atom
* ΔE_f: 410.0 meV/atom

Cell lengths 4.830, 4.830, 4.830 Å; angles 79.46, 79.46, 79.46 degrees
Sites, in units of the cell vectors:
Li  0.000  0.000  0.000
V  0.500  0.500  0.500
Ni  0.028  0.649  0.649
Ni  0.351  0.351  0.972
Ni  0.351  0.972  0.351
Ni  0.649  0.028  0.649
Ni  0.649  0.649  0.028
Ni  0.972  0.351  0.351


# 2
Density functional theory data (PBE-GGA) for an optimized crystal structure of InH2I2Br2.

* VASP energy: -2.34 eV/atom

Cell lengths 8.759, 8.759, 11.701 Å; angles 131.14, 131.14, 21.51 degrees
Sites, in units of the cell vectors:
In  0.000  0.000  0.000
H  0.217  0.217  0.681
H  0.783  0.783  0.319
I  0.429  0.429  0.177
I  0.571  0.571  0.823
Br  0.263  0.263  0.342
Br  0.737  0.737  0.658


# 3
Density functional theory data (PBE-GGA) for an optimized crystal structure of Ho6Mg5Bi.

* VASP energy: -3.46 eV/atom
* ΔE_f: -182.5 meV/atom

Cell lengths 9.283, 9.283, 9.283 Å; angles 146.35, 132.57, 59.41 degrees
Sites, in units of the cell vectors:
Ho  0.079  0.331  0.747
Ho  0.245  0.000  0.245
Ho  0.416  0.669  0.747
Ho  0.584  0.331  0.253
Ho  0.755  0.000  0.755
Ho  0.921  0.669  0.253
Mg  0.000  0.500  0.500
Mg  0.166  0.166  0.000
Mg  0.328  0.828  0.500
Mg  0.672  0.172  0.500
Mg  0.834  0.834  0.000
Bi  0.500  0.500  0.000


# 4
Density functional theory data (PBE-GGA) for an optimized crystal structure of ThCoNi2Ge2.

* VASP energy: -6.10 eV/atom
* ΔE_f: -211.6 meV/atom

Cell lengths 4.488, 4.488, 5.081 Å; angles 90.00, 90.00, 90.00 degrees
Sites, in units of the cell vectors:
Th  0.000  0.000  0.000
Co  0.000  0.000  0.500
Ni  0.500  0.500  0.240
Ni  0.500  0.500  0.760
Ge  0.000  0.500  0.500
Ge  0.500  0.000  0.500


# 5
Density functional theory data (PBE-GGA) for an optimized crystal structure of K2AcUTe4.

* VASP energy: -4.92 eV/atom
* ΔE_f (raw): -1.148 eV/atom

Cell lengths 8.160, 4.697, 8.704 Å; angles 90.00, 108.18, 90.00 degrees
Sites, in units of the cell vectors:
K  0.000  0.000  0.000
K  0.500  0.500  0.000
Ac  0.000  0.500  0.500
U  0.500  0.000  0.500
Te  0.254  0.000  0.721
Te  0.276  0.500  0.287
Te  0.724  0.500  0.713
Te  0.746  0.000  0.279